# 1
First-principles (PBE) data for a geometry-optimized La4AgRhBr2 structure, as listed in Alexandria.

Lattice parameters (Å, degrees): 4.283 8.197 7.494 72.46 90.00 90.00
Fractional positions:
La 0.000 0.713 0.735
La 0.000 0.287 0.265
La 0.500 0.705 0.277
La 0.500 0.295 0.723
Ag 0.500 0.500 0.000
Rh 0.000 0.500 0.500
Br 0.000 0.000 0.000
Br 0.500 0.000 0.500

Values from the calculation:
SG: P2/m
Calculated total energy in eV/cell: -40.66

=====

# 2
First-principles (PBE) data for a geometry-optimized CaZnSbTe2 structure, as listed in Alexandria.

Lattice parameters (Å, degrees): 5.809 5.809 5.887 90.00 90.00 90.00
Fractional positions:
Sb 0.000 0.000 0.500
Zn 0.500 0.500 0.500
Te 0.000 0.500 0.000
Te 0.500 0.000 0.000
Ca 0.000 0.000 0.000

Values from the calculation:
SG: P4/mmm
Calculated total energy in eV/cell: -11.84

=====

# 3
First-principles (PBE) data for a geometry-optimized TbCo2PC structure, as listed in Alexandria.

Lattice parameters (Å, degrees): 3.682 5.547 6.647 90.00 90.00 109.39
Fractional positions:
Tb 0.455 0.909 0.750
Tb 0.545 0.091 0.250
Co 0.166 0.333 0.945
Co 0.834 0.667 0.055
Co 0.166 0.333 0.555
Co 0.834 0.667 0.445
P 0.730 0.460 0.750
P 0.270 0.540 0.250
C 0.000 0.000 0.000
C 0.000 0.000 0.500

Values from the calculation:
SG: Cmcm
Calculated formation energy in eV/atom: -0.66

=====

# 4
First-principles (PBE) data for a geometry-optimized Pm6Ho2Tl structure, as listed in Alexandria.

Lattice parameters (Å, degrees): 3.657 9.669 9.669 120.00 90.00 90.00
Fractional positions:
Pm 0.500 0.624 0.000
Pm 0.500 0.376 0.376
Pm 0.500 0.000 0.624
Pm 0.000 0.282 0.000
Pm 0.000 0.718 0.718
Pm 0.000 0.000 0.282
Ho 0.000 0.333 0.667
Ho 0.000 0.667 0.333
Tl 0.500 0.000 0.000

Values from the calculation:
SG: P-62m
Calculated formation energy in eV/atom: -0.08

=====

# 5
First-principles (PBE) data for a geometry-optimized Ga3SiPb structure, as listed in Alexandria.

Lattice parameters (Å, degrees): 5.407 5.407 5.407 90.00 90.00 90.00
Fractional positions:
Pb 0.000 0.000 0.000
Si 0.500 0.500 0.500
Ga 0.000 0.500 0.000
Ga 0.000 0.000 0.500
Ga 0.500 0.000 0.000

Values from the calculation:
SG: Pm-3m
Calculated total energy in eV/cell: -12.94

=====

# 6
First-principles (PBE) data for a geometry-optimized K2CrInOs structure, as listed in Alexandria.

Lattice parameters (Å, degrees): 6.040 5.214 6.040 90.00 90.00 90.00
Fractional positions:
Cr 0.500 0.500 0.500
K 0.000 0.000 0.500
K 0.500 0.000 0.000
Os 0.000 0.000 0.000
In 0.000 0.500 0.000

Values from the calculation:
SG: P4/mmm
Calculated formation energy in eV/atom: 1.43

=====

# 7
First-principles (PBE) data for a geometry-optimized BeV2WBr structure, as listed in Alexandria.

Lattice parameters (Å, degrees): 4.811 4.894 4.811 90.00 90.00 90.00
Fractional positions:
Be 0.500 0.500 0.500
Br 0.000 0.500 0.000
W 0.000 0.000 0.000
V 0.000 0.000 0.500
V 0.500 0.000 0.000

Values from the calculation:
SG: P4/mmm
Calculated total energy in eV/cell: -27.81

=====

# 8
First-principles (PBE) data for a geometry-optimized YCrCu structure, as listed in Alexandria.

Lattice parameters (Å, degrees): 4.649 4.649 4.649 60.00 60.00 60.00
Fractional positions:
Cr 0.000 0.000 0.000
Cu 0.500 0.500 0.500
Y 0.750 0.750 0.750

Values from the calculation:
SG: F-43m
Calculated formation energy in eV/atom: 0.91